i | Compound: Nd8Zn2Cu
Source: Alexandria via LeMat-Bulk
Functional: GGA-PBE
Structure: optimized geometry Values from VASP.

```
&SYSTEM
  ibrav = 0, nat = 11, ntyp = 3
/
ATOMIC_SPECIES
Nd 144.24 Nd.upf
Zn 65.41 Zn.upf
Cu 63.55 Cu.upf
CELL_PARAMETERS angstrom
-2.5614 4.3612 7.1425
2.5614 -4.3612 7.1425
2.5614 4.3612 -7.1425
ATOMIC_POSITIONS crystal
Nd 0.1209 0.3410 0.7799
Nd 0.1293 0.1293 0.0000
Nd 0.3308 0.0000 0.3308
Nd 0.4389 0.6590 0.7799
Nd 0.5611 0.3410 0.2201
Nd 0.6692 0.0000 0.6692
Nd 0.8707 0.8707 0.0000
Nd 0.8791 0.6590 0.2201
Zn 0.2997 0.7997 0.5000
Zn 0.7003 0.2003 0.5000
Cu 0.0000 0.5000 0.5000
```

Total magnetic moment   0.0000 μB per atom
Volume   29.0 Å³/atom
Crystal system   orthorhombic

=====

ii | Compound: Nd8Zn2Cu
Source: Alexandria via LeMat-Bulk
Functional: GGA-PBE
Structure: optimized geometry Values from VASP.

```
&SYSTEM
  ibrav = 0, nat = 11, ntyp = 3
/
ATOMIC_SPECIES
Nd 144.24 Nd.upf
Zn 65.41 Zn.upf
Cu 63.55 Cu.upf
CELL_PARAMETERS angstrom
9.1492 -2.6108 0.0000
9.1492 2.6108 0.0000
-1.5567 0.0000 6.7295
ATOMIC_POSITIONS crystal
Nd 0.0264 0.0264 0.2743
Nd 0.2007 0.2007 0.8128
Nd 0.3403 0.3403 0.5364
Nd 0.4095 0.4095 0.0497
Nd 0.5905 0.5905 0.9503
Nd 0.6597 0.6597 0.4636
Nd 0.7993 0.7993 0.1872
Nd 0.9736 0.9736 0.7257
Zn 0.1906 0.1906 0.2383
Zn 0.8094 0.8094 0.7617
Cu 0.5000 0.5000 0.5000
```

Total magnetic moment   0.0000 μB per atom
Volume   29.2 Å³/atom
Crystal system   monoclinic

=====

Which of them is most stable? Easy: ii.

=====

i | Compound: NdZn9Cu2
Source: Alexandria via LeMat-Bulk
Functional: GGA-PBE
Structure: optimized geometry Values from VASP.

```
&SYSTEM
  ibrav = 0, nat = 24, ntyp = 3
/
ATOMIC_SPECIES
Nd 144.24 Nd.upf
Zn 65.41 Zn.upf
Cu 63.55 Cu.upf
CELL_PARAMETERS angstrom
-5.2786 5.2786 3.3688
5.2786 -5.2786 3.3688
5.2786 5.2786 -3.3688
ATOMIC_POSITIONS crystal
Nd 0.3750 0.6250 0.7500
Nd 0.6250 0.3750 0.2500
Zn 0.1250 0.8750 0.2500
Zn 0.1372 0.5613 0.3325
Zn 0.1372 0.8047 0.5759
Zn 0.1953 0.2712 0.3325
Zn 0.1953 0.8628 0.9241
Zn 0.2712 0.1953 0.8325
Zn 0.2712 0.4387 0.0759
Zn 0.4387 0.2712 0.5759
Zn 0.4387 0.8628 0.1675
Zn 0.5613 0.1372 0.8325
Zn 0.5613 0.7288 0.4241
Zn 0.7288 0.5613 0.9241
Zn 0.7288 0.8047 0.1675
Zn 0.8047 0.1372 0.0759
Zn 0.8047 0.7288 0.6675
Zn 0.8628 0.1953 0.4241
Zn 0.8628 0.4387 0.6675
Zn 0.8750 0.1250 0.7500
Cu 0.0000 0.0000 0.0000
Cu 0.0000 0.0000 0.5000
Cu 0.0000 0.5000 0.0000
Cu 0.5000 0.0000 0.5000
```

Total magnetic moment   0.0000 μB per atom
Volume   15.6 Å³/atom
Crystal system   tetragonal

=====

ii | Compound: NdZn9Cu2
Source: Alexandria via LeMat-Bulk
Functional: GGA-PBE
Structure: optimized geometry Values from VASP.

```
&SYSTEM
  ibrav = 0, nat = 12, ntyp = 3
/
ATOMIC_SPECIES
Nd 144.24 Nd.upf
Zn 65.41 Zn.upf
Cu 63.55 Cu.upf
CELL_PARAMETERS angstrom
8.5398 0.0000 0.0000
-4.2699 7.3957 0.0000
0.0000 0.0000 3.0667
ATOMIC_POSITIONS crystal
Nd 0.0000 0.0000 0.0000
Zn 0.0000 0.5000 0.0000
Zn 0.1900 0.3800 0.5000
Zn 0.1900 0.8100 0.5000
Zn 0.3800 0.1900 0.5000
Zn 0.5000 0.0000 0.0000
Zn 0.5000 0.5000 0.0000
Zn 0.6200 0.8100 0.5000
Zn 0.8100 0.1900 0.5000
Zn 0.8100 0.6200 0.5000
Cu 0.3333 0.6667 0.0000
Cu 0.6667 0.3333 0.0000
```

Total magnetic moment   0.0000 μB per atom
Volume   16.1 Å³/atom
Crystal system   hexagonal

=====

Which of them is most stable? Easy: i.

=====

i | Compound: CuNi5
Source: Alexandria via LeMat-Bulk
Functional: GGA-PBE
Structure: optimized geometry Values from VASP.

```
&SYSTEM
  ibrav = 0, nat = 12, ntyp = 2
/
ATOMIC_SPECIES
Cu 63.55 Cu.upf
Ni 58.69 Ni.upf
CELL_PARAMETERS angstrom
4.1665 0.0000 0.0000
0.0000 12.4998 0.0000
0.0000 0.0000 2.5605
ATOMIC_POSITIONS crystal
Cu 0.0000 0.0000 0.0000
Cu 0.5000 0.5000 0.0000
Ni 0.0000 0.1700 0.5000
Ni 0.0000 0.3353 0.0000
Ni 0.0000 0.5000 0.5000
Ni 0.0000 0.6647 0.0000
Ni 0.0000 0.8300 0.5000
Ni 0.5000 0.0000 0.5000
Ni 0.5000 0.1647 0.0000
Ni 0.5000 0.3300 0.5000
Ni 0.5000 0.6700 0.5000
Ni 0.5000 0.8353 0.0000
```

Total magnetic moment   0.4207 μB per atom
Volume   11.1 Å³/atom
Crystal system   orthorhombic

=====

ii | Compound: CuNi5
Source: Alexandria via LeMat-Bulk
Functional: GGA-PBE
Structure: optimized geometry Values from VASP.

```
&SYSTEM
  ibrav = 0, nat = 12, ntyp = 2
/
ATOMIC_SPECIES
Cu 63.55 Cu.upf
Ni 58.69 Ni.upf
CELL_PARAMETERS angstrom
9.2798 0.0000 0.0000
0.0000 2.4830 0.0000
-1.6043 0.0000 5.7519
ATOMIC_POSITIONS crystal
Cu 0.0000 0.0000 0.0000
Cu 0.5000 0.5000 0.0000
Ni 0.0556 0.0000 0.6100
Ni 0.1669 0.5000 0.3359
Ni 0.2239 0.5000 0.9448
Ni 0.3313 0.0000 0.6642
Ni 0.3868 0.0000 0.2812
Ni 0.5556 0.5000 0.6100
Ni 0.6669 0.0000 0.3359
Ni 0.7239 0.0000 0.9448
Ni 0.8313 0.5000 0.6642
Ni 0.8868 0.5000 0.2812
```

Total magnetic moment   0.4440 μB per atom
Volume   11.0 Å³/atom
Crystal system   monoclinic

=====

iii | Compound: CuNi5
Source: Alexandria via LeMat-Bulk
Functional: GGA-PBE
Structure: optimized geometry Values from VASP.

```
&SYSTEM
  ibrav = 0, nat = 6, ntyp = 2
/
ATOMIC_SPECIES
Cu 63.55 Cu.upf
Ni 58.69 Ni.upf
CELL_PARAMETERS angstrom
0.0000 3.2592 3.2592
3.2592 0.0000 3.2592
3.2592 3.2592 0.0000
ATOMIC_POSITIONS crystal
Cu 0.0000 0.0000 0.0000
Ni 0.1253 0.6249 0.6249
Ni 0.2500 0.2500 0.2500
Ni 0.6249 0.1253 0.6249
Ni 0.6249 0.6249 0.1253
Ni 0.6249 0.6249 0.6249
```

Total magnetic moment   0.1544 μB per atom
Volume   11.5 Å³/atom
Crystal system   cubic

=====

iv | Compound: CuNi5
Source: Alexandria via LeMat-Bulk
Functional: GGA-PBE
Structure: optimized geometry Values from VASP.

```
&SYSTEM
  ibrav = 0, nat = 6, ntyp = 2
/
ATOMIC_SPECIES
Cu 63.55 Cu.upf
Ni 58.69 Ni.upf
CELL_PARAMETERS angstrom
2.4938 0.0000 0.0000
-1.2469 2.1597 0.0000
0.0000 0.0000 12.3233
ATOMIC_POSITIONS crystal
Cu 0.0000 0.0000 0.0000
Ni 0.0000 0.0000 0.3350
Ni 0.0000 0.0000 0.6650
Ni 0.6667 0.3333 0.1705
Ni 0.6667 0.3333 0.5000
Ni 0.6667 0.3333 0.8295
```

Total magnetic moment   0.5150 μB per atom
Volume   11.1 Å³/atom
Crystal system   hexagonal

=====

Which of them is most stable? Easy: iv.

=====

i | Compound: CuNi5
Source: Alexandria via LeMat-Bulk
Functional: GGA-PBE
Structure: optimized geometry Values from VASP.

```
&SYSTEM
  ibrav = 0, nat = 12, ntyp = 2
/
ATOMIC_SPECIES
Cu 63.55 Cu.upf
Ni 58.69 Ni.upf
CELL_PARAMETERS angstrom
3.5382 0.0000 0.0000
0.0000 10.5720 0.0000
0.0000 0.0000 3.5336
ATOMIC_POSITIONS crystal
Cu 0.0000 0.0000 0.0000
Cu 0.5000 0.5000 0.0000
Ni 0.0000 0.1681 0.5000
Ni 0.0000 0.3320 0.0000
Ni 0.0000 0.5000 0.5000
Ni 0.0000 0.6680 0.0000
Ni 0.0000 0.8319 0.5000
Ni 0.5000 0.0000 0.5000
Ni 0.5000 0.1680 0.0000
Ni 0.5000 0.3319 0.5000
Ni 0.5000 0.6681 0.5000
Ni 0.5000 0.8320 0.0000
```

Total magnetic moment   0.4385 μB per atom
Volume   11.0 Å³/atom
Crystal system   orthorhombic

=====

ii | Compound: CuNi5
Source: Alexandria via LeMat-Bulk
Functional: GGA-PBE
Structure: optimized geometry Values from VASP.

```
&SYSTEM
  ibrav = 0, nat = 12, ntyp = 2
/
ATOMIC_SPECIES
Cu 63.55 Cu.upf
Ni 58.69 Ni.upf
CELL_PARAMETERS angstrom
4.1054 0.0000 0.0000
0.0000 2.4867 0.0000
0.0000 0.0000 12.9751
ATOMIC_POSITIONS crystal
Cu 0.0000 0.0000 0.0000
Cu 0.0000 0.5000 0.5000
Ni 0.0000 0.0000 0.3322
Ni 0.0000 0.0000 0.6684
Ni 0.0000 0.5000 0.1684
Ni 0.0000 0.5000 0.8322
Ni 0.5000 0.0000 0.2219
Ni 0.5000 0.0000 0.5567
Ni 0.5000 0.0000 0.8880
Ni 0.5000 0.5000 0.0567
Ni 0.5000 0.5000 0.3880
Ni 0.5000 0.5000 0.7219
```

Total magnetic moment   0.4108 μB per atom
Volume   11.0 Å³/atom
Crystal system   orthorhombic

=====

Which of them is most stable? Easy: i.

=====

i | Compound: CuNi5
Source: Alexandria via LeMat-Bulk
Functional: GGA-PBE
Structure: optimized geometry Values from VASP.

```
&SYSTEM
  ibrav = 0, nat = 6, ntyp = 2
/
ATOMIC_SPECIES
Cu 63.55 Cu.upf
Ni 58.69 Ni.upf
CELL_PARAMETERS angstrom
2.4916 0.0000 0.0000
0.0000 2.4916 0.0000
0.0000 0.0000 10.6433
ATOMIC_POSITIONS crystal
Cu 0.0000 0.0000 0.0000
Ni 0.0000 0.0000 0.3351
Ni 0.0000 0.0000 0.6649
Ni 0.5000 0.5000 0.1720
Ni 0.5000 0.5000 0.5000
Ni 0.5000 0.5000 0.8280
```

Total magnetic moment   0.4392 μB per atom
Volume   11.0 Å³/atom
Crystal system   tetragonal

=====

ii | Compound: CuNi5
Source: Alexandria via LeMat-Bulk
Functional: GGA-PBE
Structure: optimized geometry Values from VASP.

```
&SYSTEM
  ibrav = 0, nat = 6, ntyp = 2
/
ATOMIC_SPECIES
Cu 63.55 Cu.upf
Ni 58.69 Ni.upf
CELL_PARAMETERS angstrom
4.5943 0.0000 0.0000
-2.2972 3.9788 0.0000
0.0000 0.0000 4.0252
ATOMIC_POSITIONS crystal
Cu 0.0000 0.0000 0.0000
Ni 0.0000 0.5000 0.5000
Ni 0.3333 0.6667 0.0000
Ni 0.5000 0.0000 0.5000
Ni 0.5000 0.5000 0.5000
Ni 0.6667 0.3333 0.0000
```

Total magnetic moment   0.3907 μB per atom
Volume   12.3 Å³/atom
Crystal system   hexagonal

=====

Which of them is most stable? Easy: i.

=====

i | Compound: Cu2Ni3
Source: Alexandria via LeMat-Bulk
Functional: GGA-PBE
Structure: optimized geometry Values from VASP.

```
&SYSTEM
  ibrav = 0, nat = 15, ntyp = 2
/
ATOMIC_SPECIES
Cu 63.55 Cu.upf
Ni 58.69 Ni.upf
CELL_PARAMETERS angstrom
2.5091 0.0000 0.0000
-1.2545 2.1729 0.0000
0.0000 0.0000 30.9050
ATOMIC_POSITIONS crystal
Cu 0.0000 0.0000 0.0998
Cu 0.0000 0.0000 0.9002
Cu 0.3333 0.6667 0.5669
Cu 0.3333 0.6667 0.7665
Cu 0.6667 0.3333 0.2335
Cu 0.6667 0.3333 0.4331
Ni 0.0000 0.0000 0.3009
Ni 0.0000 0.0000 0.5000
Ni 0.0000 0.0000 0.6991
Ni 0.3333 0.6667 0.1667
Ni 0.3333 0.6667 0.3657
Ni 0.3333 0.6667 0.9676
Ni 0.6667 0.3333 0.0324
Ni 0.6667 0.3333 0.6343
Ni 0.6667 0.3333 0.8333
```

Total magnetic moment   0.2901 μB per atom
Volume   11.2 Å³/atom
Crystal system   trigonal

=====

ii | Compound: Cu2Ni3
Source: Alexandria via LeMat-Bulk
Functional: GGA-PBE
Structure: optimized geometry Values from VASP.

```
&SYSTEM
  ibrav = 0, nat = 15, ntyp = 2
/
ATOMIC_SPECIES
Cu 63.55 Cu.upf
Ni 58.69 Ni.upf
CELL_PARAMETERS angstrom
2.5102 0.0000 0.0000
-1.2551 2.1739 0.0000
0.0000 0.0000 30.9071
ATOMIC_POSITIONS crystal
Cu 0.0000 0.0000 0.2010
Cu 0.0000 0.0000 0.7990
Cu 0.3333 0.6667 0.4657
Cu 0.3333 0.6667 0.8677
Cu 0.6667 0.3333 0.1323
Cu 0.6667 0.3333 0.5343
Ni 0.0000 0.0000 0.0000
Ni 0.0000 0.0000 0.3985
Ni 0.0000 0.0000 0.6015
Ni 0.3333 0.6667 0.0652
Ni 0.3333 0.6667 0.2682
Ni 0.3333 0.6667 0.6667
Ni 0.6667 0.3333 0.3333
Ni 0.6667 0.3333 0.7318
Ni 0.6667 0.3333 0.9348
```

Total magnetic moment   0.3158 μB per atom
Volume   11.2 Å³/atom
Crystal system   trigonal

=====

iii | Compound: Cu2Ni3
Source: Alexandria via LeMat-Bulk
Functional: GGA-PBE
Structure: optimized geometry Values from VASP.

```
&SYSTEM
  ibrav = 0, nat = 5, ntyp = 2
/
ATOMIC_SPECIES
Cu 63.55 Cu.upf
Ni 58.69 Ni.upf
CELL_PARAMETERS angstrom
3.8923 0.0000 0.0000
-1.9461 3.3708 0.0000
0.0000 0.0000 4.8157
ATOMIC_POSITIONS crystal
Cu 0.3333 0.6667 0.3514
Cu 0.6667 0.3333 0.6486
Ni 0.0000 0.0000 0.5000
Ni 0.3333 0.6667 0.8621
Ni 0.6667 0.3333 0.1379
```

Total magnetic moment   0.2923 μB per atom
Volume   12.6 Å³/atom
Crystal system   trigonal

=====

Which of them is most stable? Easy: ii.

=====

i | Compound: Cu4Ni
Source: Alexandria via LeMat-Bulk
Functional: GGA-PBE
Structure: optimized geometry Values from VASP.

```
&SYSTEM
  ibrav = 0, nat = 5, ntyp = 2
/
ATOMIC_SPECIES
Cu 63.55 Cu.upf
Ni 58.69 Ni.upf
CELL_PARAMETERS angstrom
4.3393 0.0000 0.0000
0.0000 4.3393 0.0000
0.0000 0.0000 4.3393
ATOMIC_POSITIONS crystal
Cu 0.0000 0.0000 0.0000
Cu 0.0000 0.5000 0.5000
Cu 0.5000 0.0000 0.5000
Cu 0.5000 0.5000 0.0000
Ni 0.5000 0.5000 0.5000
```

Total magnetic moment   0.0467 μB per atom
Volume   16.3 Å³/atom
Crystal system   cubic

=====

ii | Compound: Cu4Ni
Source: Alexandria via LeMat-Bulk
Functional: GGA-PBE
Structure: optimized geometry Values from VASP.

```
&SYSTEM
  ibrav = 0, nat = 10, ntyp = 2
/
ATOMIC_SPECIES
Cu 63.55 Cu.upf
Ni 58.69 Ni.upf
CELL_PARAMETERS angstrom
5.3092 0.0000 0.0000
0.0000 5.3092 0.0000
0.0000 0.0000 5.3092
ATOMIC_POSITIONS crystal
Cu 0.2500 0.2500 0.2500
Cu 0.2500 0.2500 0.7500
Cu 0.2500 0.7500 0.2500
Cu 0.2500 0.7500 0.7500
Cu 0.7500 0.2500 0.2500
Cu 0.7500 0.2500 0.7500
Cu 0.7500 0.7500 0.2500
Cu 0.7500 0.7500 0.7500
Ni 0.0000 0.0000 0.0000
Ni 0.5000 0.5000 0.5000
```

Total magnetic moment   0.0000 μB per atom
Volume   15.0 Å³/atom
Crystal system   cubic

=====

Which of them is most stable? Easy: ii.

=====

i | Compound: Cu4Ni3
Source: Alexandria via LeMat-Bulk
Functional: GGA-PBE
Structure: optimized geometry Values from VASP.

```
&SYSTEM
  ibrav = 0, nat = 14, ntyp = 2
/
ATOMIC_SPECIES
Cu 63.55 Cu.upf
Ni 58.69 Ni.upf
CELL_PARAMETERS angstrom
2.8910 0.0000 0.0000
0.0000 2.8910 0.0000
0.0000 0.0000 19.2320
ATOMIC_POSITIONS crystal
Cu 0.0000 0.0000 0.0713
Cu 0.0000 0.0000 0.3558
Cu 0.0000 0.0000 0.6442
Cu 0.0000 0.0000 0.9287
Cu 0.5000 0.5000 0.1442
Cu 0.5000 0.5000 0.4287
Cu 0.5000 0.5000 0.5713
Cu 0.5000 0.5000 0.8558
Ni 0.0000 0.0000 0.2169
Ni 0.0000 0.0000 0.5000
Ni 0.0000 0.0000 0.7831
Ni 0.5000 0.5000 0.0000
Ni 0.5000 0.5000 0.2831
Ni 0.5000 0.5000 0.7169
```

Total magnetic moment   0.1248 μB per atom
Volume   11.5 Å³/atom
Crystal system   tetragonal

=====

ii | Compound: Cu4Ni3
Source: Alexandria via LeMat-Bulk
Functional: GGA-PBE
Structure: optimized geometry Values from VASP.

```
&SYSTEM
  ibrav = 0, nat = 14, ntyp = 2
/
ATOMIC_SPECIES
Cu 63.55 Cu.upf
Ni 58.69 Ni.upf
CELL_PARAMETERS angstrom
2.4691 0.0000 0.0000
0.0000 2.4691 0.0000
0.0000 0.0000 27.8270
ATOMIC_POSITIONS crystal
Cu 0.0000 0.0000 0.0658
Cu 0.0000 0.0000 0.3662
Cu 0.0000 0.0000 0.6338
Cu 0.0000 0.0000 0.9342
Cu 0.5000 0.5000 0.1338
Cu 0.5000 0.5000 0.4342
Cu 0.5000 0.5000 0.5658
Cu 0.5000 0.5000 0.8662
Ni 0.0000 0.0000 0.2804
Ni 0.0000 0.0000 0.5000
Ni 0.0000 0.0000 0.7196
Ni 0.5000 0.5000 0.0000
Ni 0.5000 0.5000 0.2196
Ni 0.5000 0.5000 0.7804
```

Total magnetic moment   0.1752 μB per atom
Volume   12.1 Å³/atom
Crystal system   tetragonal

=====

Which of them is most stable? Easy: i.